1.
{"formula": "ErSnH", "functional": "PBE-GGA", "state": "relaxed", "magmom_total_mub_per_cell": 0.3, "relative_energy_mev_per_atom": 296.4, "cell": [[3.200, 0.000, 0.000], [0.000, 3.200, 0.000], [-1.600, -1.600, 5.617]], "species": ["H", "Sn", "Er"], "fractional_positions": [[0.269, 0.269, 0.538], [0.006, 0.006, 0.012], [0.725, 0.725, 0.450]]}

---

2.
{"formula": "MnSnIrPt", "functional": "PBE-GGA", "state": "relaxed", "magmom_total_mub_per_cell": 4.2, "formation_energy_ev_per_atom": -0.20, "cell": [[3.611, 0.000, 0.000], [0.000, 3.091, 0.000], [0.000, 0.000, 5.836]], "species": ["Mn", "Sn", "Ir", "Pt"], "fractional_positions": [[0.500, 0.500, 0.708], [0.500, 0.500, 0.214], [0.000, 0.000, 0.465], [0.000, 0.000, 0.946]]}

---

3.
{"formula": "KTa2Os", "functional": "PBE-GGA", "state": "relaxed", "magmom_total_mub_per_cell": 0.0, "relative_energy_mev_per_atom": 37.2, "formation_energy_ev_per_atom": 0.62, "cell": [[2.975, 0.000, 0.000], [0.000, 3.888, 0.000], [0.000, 0.000, 8.566]], "species": ["K", "Os", "Ta", "Ta"], "fractional_positions": [[0.500, 0.500, 0.250], [0.500, 0.500, 0.750], [0.000, 0.000, 0.896], [0.000, 0.000, 0.604]]}

---

4.
{"formula": "LaCdTc2", "functional": "PBE-GGA", "state": "relaxed", "magmom_total_mub_per_cell": 0.6, "formation_energy_ev_per_atom": 0.38, "cell": [[10.485, 0.000, 0.000], [10.067, 2.931, 0.000], [10.067, 1.436, 2.555]], "species": ["Cd", "La", "Tc", "Tc"], "fractional_positions": [[0.511, 0.511, 0.511], [0.743, 0.743, 0.743], [0.988, 0.988, 0.988], [0.258, 0.258, 0.258]]}

---

5.
{"formula": "GaRePd2Pb", "functional": "PBE-GGA", "state": "relaxed", "magmom_total_mub_per_cell": 0.0, "formation_energy_ev_per_atom": 0.75, "cell": [[4.902, 0.000, 0.000], [0.000, 4.855, 0.000], [0.000, 0.000, 4.902]], "species": ["Pb", "Re", "Ga", "Pd", "Pd"], "fractional_positions": [[0.500, 0.500, 0.500], [0.000, 0.000, 0.000], [0.000, 0.500, 0.000], [0.000, 0.000, 0.500], [0.500, 0.000, 0.000]]}

---

6.
{"formula": "SrLiNi2", "functional": "PBE-GGA", "state": "relaxed", "magmom_total_mub_per_cell": 0.0, "relative_energy_mev_per_atom": 326.0, "formation_energy_ev_per_atom": 0.32, "cell": [[-0.092, -4.672, -1.701], [3.286, -0.152, -3.730], [0.567, 1.664, 4.652]], "species": ["Li", "Ni", "Ni", "Sr"], "fractional_positions": [[0.750, 0.250, 0.500], [0.000, 0.000, 0.000], [0.500, 0.500, 0.000], [0.250, 0.750, 0.500]]}

---

Which formula does entry 6 have?
SrLiNi2